1.
VASP calculation (PBE) on TcBr2F2 after structural relaxation.

POSCAR file:
```
TcBr2F2
1.0
5.806 0.000 3.149
2.553 5.770 2.219
0.137 -0.418 6.674
F Tc Br
4 2 4
Cartesian
6.133 4.279 5.550
3.614 4.279 4.184
4.882 1.073 7.858
2.363 1.073 6.492
1.754 0.000 0.951
4.052 0.000 2.197
6.367 4.023 9.042
5.189 1.059 4.286
3.307 4.293 7.756
2.130 1.329 3.000
```

Summary:
- M_tot: 1.0 μB per formula unit
- Final energy: -4.640 eV/atom
- Uncorrected formation energy: -1.149 eV/atom
- Volume: 223.09 Å³/cell


2.
VASP calculation (PBE) on Tc2BrF7 after structural relaxation.

POSCAR file:
```
Tc2BrF7
1.0
3.951 0.468 -0.676
1.043 7.584 -0.702
-1.043 2.013 7.346
F Tc Br
7 2 1
Cartesian
0.403 3.693 4.918
3.548 6.371 1.050
1.570 7.689 2.455
2.380 5.472 5.657
2.380 2.375 3.513
1.975 5.032 2.984
1.570 4.592 0.311
1.560 6.171 1.339
2.391 3.894 4.629
0.000 0.000 0.000
```

Summary:
- M_tot: 5.4 μB per formula unit
- Final energy: -5.221 eV/atom
- Uncorrected formation energy: -1.670 eV/atom
- Volume: 215.68 Å³/cell


3.
VASP calculation (PBE) on Tl2TcBr2F4 after structural relaxation.

POSCAR file:
```
Tl2TcBr2F4
1.0
5.400 -0.557 -0.379
0.591 6.958 0.921
0.591 3.411 6.134
Tl F Tc Br
2 4 1 2
Cartesian
1.576 6.464 4.398
5.006 3.349 2.278
1.989 5.580 1.722
4.592 4.233 4.954
4.592 6.162 2.118
1.989 3.650 4.558
2.700 -0.278 -0.189
4.526 8.053 5.479
2.056 1.759 1.197
```

Summary:
- M_tot: 3.0 μB per formula unit
- Final energy: -4.449 eV/atom
- Uncorrected formation energy: -1.568 eV/atom
- Volume: 216.04 Å³/cell


4.
VASP calculation (PBE) on Tl3TcBr2F6 after structural relaxation.

POSCAR file:
```
Tl3TcBr2F6
1.0
5.068 0.000 0.190
0.000 7.696 0.000
-0.577 -3.848 7.853
F Tc Tl Br
6 1 3 2
Cartesian
2.837 3.848 6.222
3.671 6.302 0.780
0.819 2.454 7.263
1.654 0.000 1.821
0.819 -2.454 7.263
3.671 1.394 0.780
2.534 0.000 0.095
2.245 -1.924 4.021
0.000 3.848 0.000
2.245 1.924 4.021
-0.220 3.848 3.217
4.711 0.000 4.826
```

Summary:
- M_tot: 2.2 μB per formula unit
- Final energy: -4.319 eV/atom
- Uncorrected formation energy: -1.649 eV/atom
- Volume: 307.12 Å³/cell


What is the formula in the fourth record?
Tl3TcBr2F6